No. 1
Compound: Cu3Pt
Source: Alexandria via LeMat-Bulk
Functional: PBEsol
Structure: optimized geometry

Structure (CIF):
```
data_Cu3Pt
_cell_length_a 4.226
_cell_length_b 5.185
_cell_length_c 5.185
_cell_angle_alpha 120.00
_cell_angle_beta 90.00
_cell_angle_gamma 90.00
_symmetry_space_group_name_H-M 'P 1'
_symmetry_Int_Tables_number 1
loop_
_symmetry_equiv_pos_as_xyz
'x,y,z'
loop_
_atom_site_label
_atom_site_type_symbol
_atom_site_fract_x
_atom_site_fract_y
_atom_site_fract_z
_atom_site_occupancy
Cu1 Cu 0.250 0.836 0.672 1
Cu2 Cu 0.250 0.328 0.164 1
Cu3 Cu 0.750 0.164 0.836 1
Cu4 Cu 0.250 0.836 0.164 1
Cu5 Cu 0.750 0.672 0.836 1
Cu6 Cu 0.750 0.164 0.328 1
Pt1 Pt 0.750 0.667 0.333 1
Pt2 Pt 0.250 0.333 0.667 1
```

Output
Crystal system: hexagonal
Space group: P6_3/mmc, No. 194
E, eV for the cell shown: -40.78
Magnetization, μB/cell: 0.0



No. 2
Compound: Ca2SnAs2
Source: Alexandria via LeMat-Bulk
Functional: PBEsol
Structure: optimized geometry

Structure (CIF):
```
data_Ca2SnAs2
_cell_length_a 4.127
_cell_length_b 7.620
_cell_length_c 7.620
_cell_angle_alpha 90.00
_cell_angle_beta 90.00
_cell_angle_gamma 90.00
_symmetry_space_group_name_H-M 'P 1'
_symmetry_Int_Tables_number 1
loop_
_symmetry_equiv_pos_as_xyz
'x,y,z'
loop_
_atom_site_label
_atom_site_type_symbol
_atom_site_fract_x
_atom_site_fract_y
_atom_site_fract_z
_atom_site_occupancy
Ca1 Ca 0.500 0.331 0.169 1
Ca2 Ca 0.500 0.831 0.331 1
Ca3 Ca 0.500 0.169 0.669 1
Ca4 Ca 0.500 0.669 0.831 1
As1 As 0.000 0.369 0.869 1
As2 As 0.000 0.869 0.631 1
As3 As 0.000 0.131 0.369 1
As4 As 0.000 0.631 0.131 1
Sn1 Sn 0.000 0.500 0.500 1
Sn2 Sn 0.000 0.000 0.000 1
```

Output
Crystal system: tetragonal
Space group: P4/mbm, No. 127
E, eV for the cell shown: -45.65
Magnetization, μB/cell: 0.0



No. 3
Compound: Tl3Re
Source: Alexandria via LeMat-Bulk
Functional: PBEsol
Structure: optimized geometry

Structure (CIF):
```
data_Tl3Re
_cell_length_a 2.915
_cell_length_b 4.785
_cell_length_c 7.546
_cell_angle_alpha 108.48
_cell_angle_beta 101.14
_cell_angle_gamma 90.00
_symmetry_space_group_name_H-M 'P 1'
_symmetry_Int_Tables_number 1
loop_
_symmetry_equiv_pos_as_xyz
'x,y,z'
loop_
_atom_site_label
_atom_site_type_symbol
_atom_site_fract_x
_atom_site_fract_y
_atom_site_fract_z
_atom_site_occupancy
Tl1 Tl 0.500 0.500 0.000 1
Tl2 Tl 0.316 0.816 0.633 1
Tl3 Tl 0.684 0.184 0.367 1
Re1 Re 0.000 0.000 0.000 1
```

Output
Crystal system: orthorhombic
Space group: Immm, No. 71
Energy above the lowest structure with this stoichiometry, kJ per mole of atoms: 0.0
Magnetization, μB/cell: 0.0



No. 4
Compound: MnCdAu
Source: Alexandria via LeMat-Bulk
Functional: PBEsol
Structure: optimized geometry

Structure (CIF):
```
data_MnCdAu
_cell_length_a 4.352
_cell_length_b 4.352
_cell_length_c 4.352
_cell_angle_alpha 60.00
_cell_angle_beta 60.00
_cell_angle_gamma 60.00
_symmetry_space_group_name_H-M 'P 1'
_symmetry_Int_Tables_number 1
loop_
_symmetry_equiv_pos_as_xyz
'x,y,z'
loop_
_atom_site_label
_atom_site_type_symbol
_atom_site_fract_x
_atom_site_fract_y
_atom_site_fract_z
_atom_site_occupancy
Cd1 Cd 0.500 0.500 0.500 1
Au1 Au 0.000 0.000 0.000 1
Mn1 Mn 0.250 0.250 0.250 1
```

Output
Crystal system: cubic
Space group: F-43m, No. 216
E, eV for the cell shown: -13.80
Magnetization, μB/cell: 3.9